[1]
A plane-wave DFT calculation with GGA-PBEsol was carried out for a relaxed Rb3SnP3Se11 crystal.

```
Rb3SnP3Se11
1.0
7.3038 0.0000 0.0000
0.0000 13.8950 0.0498
0.0000 -5.9329 21.0546
Rb Sn P Se
12 4 12 44
direct
0.4411 0.1491 0.9304
0.1556 0.1195 0.4928
0.6444 0.4853 0.7747
0.0589 0.6491 0.9304
0.9411 0.3509 0.0696
0.8444 0.8805 0.5072
0.3444 0.6195 0.4928
0.1444 0.0147 0.2253
0.5589 0.8509 0.0696
0.3556 0.5147 0.2253
0.6556 0.3805 0.5072
0.8556 0.9853 0.7747
0.3668 0.7721 0.7162
0.1332 0.2721 0.7162
0.6332 0.2279 0.2838
0.8668 0.7279 0.2838
0.1390 0.3727 0.5997
0.6390 0.1273 0.4003
0.3503 0.0192 0.6747
0.5595 0.8030 0.8863
0.8610 0.6273 0.4003
0.1497 0.5192 0.6747
0.9405 0.3030 0.8863
0.8503 0.4808 0.3253
0.3610 0.8727 0.5997
0.0595 0.6970 0.1137
0.4405 0.1970 0.1137
0.6497 0.9808 0.3253
0.3573 0.8889 0.5052
0.1136 0.6958 0.3734
0.5536 0.6729 0.9231
0.6503 0.0228 0.2327
0.9221 0.9261 0.3467
0.7904 0.4323 0.9393
0.2904 0.0677 0.0607
0.3497 0.9772 0.7673
0.1168 0.7545 0.8005
0.8413 0.2538 0.7852
0.6274 0.7163 0.3758
0.7248 0.1279 0.1182
0.0779 0.0739 0.6533
0.4464 0.3271 0.0769
0.3832 0.2545 0.8005
0.6587 0.7538 0.7852
0.8832 0.2455 0.1995
0.2248 0.3721 0.8818
0.4221 0.5739 0.6533
0.5778 0.1157 0.6680
0.3413 0.2462 0.2148
0.1274 0.7837 0.6242
0.3864 0.1958 0.3734
0.0778 0.3843 0.3320
0.9464 0.1729 0.9231
0.7752 0.6279 0.1182
0.8497 0.5228 0.2327
0.2096 0.5677 0.0607
0.1427 0.3889 0.5052
0.8726 0.2163 0.3758
0.4222 0.8843 0.3320
0.5779 0.4261 0.3467
0.2752 0.8721 0.8818
0.1587 0.7462 0.2148
0.1503 0.4772 0.7673
0.7096 0.9323 0.9393
0.3726 0.2837 0.6242
0.8864 0.3042 0.6266
0.9222 0.6157 0.6680
0.8573 0.6111 0.4948
0.6168 0.7455 0.1995
0.6427 0.1111 0.4948
0.0536 0.8271 0.0769
0.6136 0.8042 0.6266
```

For the total magnetization, the calculation gives 0.000 μB per formula unit. As for the theoretical density: 4.2 g/cm3. As for the symmetry: P2_1/c (14). As for the formation energy from raw total energies: -8.77 eV/f.u.

[2]
A plane-wave DFT calculation with GGA-PBEsol was carried out for a relaxed Rb3SnP crystal.

```
Rb3SnP
1.0
-2.4176 2.1991 -6.0307
5.0981 -3.2582 -3.2319
-3.9007 -5.6213 -0.4861
P Sn Rb
1 1 3
direct
0.5000 0.5000 0.5000
0.0000 0.0000 0.0000
0.0000 0.5000 0.0000
0.0000 0.0000 0.5000
0.5000 0.0000 0.0000
```

For the total magnetization, the calculation gives 3.860 μB per formula unit. As for the energy of formation from the pure elements: 631.7 meV per atom. As for the theoretical density: 2.1 g/cm3. As for the symmetry: Pm-3m (221).

[3]
A plane-wave DFT calculation with GGA-PBEsol was carried out for a relaxed RbSnP crystal.

```
RbSnP
1.0
3.9973 0.0000 0.0000
1.9986 3.4617 0.0000
1.9986 1.1539 6.5793
P Sn Rb
1 1 1
direct
0.9151 0.9151 0.2548
0.6457 0.6457 0.0629
0.1301 0.1301 0.6098
```

For the total magnetization, the calculation gives 0.000 μB per formula unit. As for the energy of formation from the pure elements: -324.8 meV per atom. As for the theoretical density: 4.3 g/cm3. As for the symmetry: R3m (160).

[4]
A plane-wave DFT calculation with GGA-PBEsol was carried out for a relaxed RbTc2SnP crystal.

```
RbTc2SnP
1.0
4.7572 0.0000 0.0000
0.0000 4.7572 0.0000
0.0000 0.0000 5.3145
P Sn Rb Tc
1 1 1 2
direct
0.0000 0.0000 0.5000
0.5000 0.5000 0.5000
0.0000 0.0000 0.0000
0.0000 0.5000 0.0000
0.5000 0.0000 0.0000
```

For the total magnetization, the calculation gives 4.703 μB per formula unit. As for the energy of formation from the pure elements: 2863.8 meV per atom. As for the theoretical density: 6.0 g/cm3. As for the symmetry: P4/mmm (123).

[5]
A plane-wave DFT calculation with GGA-PBEsol was carried out for a relaxed RbTiP2 crystal.

```
RbTiP2
1.0
-2.0438 -4.3369 3.0930
3.6512 1.2717 4.1958
-5.7623 5.9844 -0.6787
P Rb Ti
4 2 2
direct
0.6250 0.3750 0.7500
0.1250 0.3750 0.7500
0.6250 0.8750 0.2500
0.6250 0.3750 0.2500
0.0000 0.0000 0.0000
0.2500 0.7500 0.5000
0.5000 0.5000 0.0000
0.7500 0.2500 0.5000
```

For the total magnetization, the calculation gives 0.000 μB per formula unit. As for the energy of formation from the pure elements: -363.3 meV per atom. As for the theoretical density: 2.7 g/cm3. As for the symmetry: I4_1/amd (141). The energy above the lowest structure with this stoichiometry is 0 meV/atom.

[6]
A plane-wave DFT calculation with GGA-PBEsol was carried out for a relaxed RbTiP2 crystal.

```
RbTiP2
1.0
-1.3427 3.6812 -2.7255
-3.0785 3.2284 1.6977
1.4987 4.4108 1.0396
P Rb Ti
2 1 1
direct
0.2500 0.2500 0.2500
0.7500 0.7500 0.7500
0.5000 0.5000 0.5000
0.0000 0.0000 0.0000
```

For the total magnetization, the calculation gives 0.000 μB per formula unit. As for the energy of formation from the pure elements: 328.6 meV per atom. As for the theoretical density: 4.2 g/cm3. As for the symmetry: Fm-3m (225). The energy above the lowest structure with this stoichiometry is 692 meV/atom.

[7]
A plane-wave DFT calculation with GGA-PBEsol was carried out for a relaxed RbTl2P crystal.

```
RbTl2P
1.0
-4.1163 2.2501 2.6758
-2.9470 -2.9704 3.4145
0.3744 0.8369 5.3223
P Rb Tl
1 1 2
direct
0.0000 0.0000 0.0000
0.5000 0.5000 0.5000
0.2500 0.2500 0.2500
0.7500 0.7500 0.7500
```

For the total magnetization, the calculation gives 0.000 μB per formula unit. As for the energy of formation from the pure elements: 109.9 meV per atom. As for the theoretical density: 7.8 g/cm3. As for the symmetry: Fm-3m (225).

[8]
A plane-wave DFT calculation with GGA-PBEsol was carried out for a relaxed RbZn4P3 crystal.

```
RbZn4P3
1.0
3.9995 0.0000 0.0000
0.0000 3.9995 0.0000
0.0000 0.0000 9.9723
P Zn Rb
3 4 1
direct
0.0000 0.0000 0.0000
0.5000 0.5000 0.2877
0.5000 0.5000 0.7123
0.0000 0.5000 0.1569
0.0000 0.5000 0.8431
0.5000 0.0000 0.8431
0.5000 0.0000 0.1569
0.0000 0.0000 0.5000
```

For the total magnetization, the calculation gives 0.000 μB per formula unit. As for the energy of formation from the pure elements: -284.3 meV per atom. As for the theoretical density: 4.6 g/cm3. As for the symmetry: P4/mmm (123).

[9]
A plane-wave DFT calculation with GGA-PBEsol was carried out for a relaxed Rb3ZrP crystal.

```
Rb3ZrP
1.0
-3.8157 0.6148 5.1231
-3.2806 -5.2071 -1.8186
3.9826 -3.7003 3.4103
P Rb Zr
1 3 1
direct
0.0000 0.0000 0.0000
0.0000 0.5000 0.0000
0.0000 0.0000 0.5000
0.5000 0.0000 0.0000
0.5000 0.5000 0.5000
```

For the total magnetization, the calculation gives 1.981 μB per formula unit. As for the energy of formation from the pure elements: 1038.5 meV per atom. As for the theoretical density: 2.4 g/cm3. As for the symmetry: Pm-3m (221).

[10]
A plane-wave DFT calculation with GGA-PBEsol was carried out for a relaxed Re6P13 crystal.

```
Re6P13
1.0
-1.8244 -0.6018 8.0812
-6.3657 -5.1565 -4.6671
0.5424 -9.1303 2.2884
P Re
26 12
direct
0.8674 0.0000 0.0000
0.1326 0.0000 0.0000
0.1053 0.6039 0.0070
0.1123 0.0070 0.3891
0.5013 0.3891 0.6039
0.8947 0.3961 0.9930
0.8877 0.9930 0.6109
0.4987 0.6109 0.3961
0.4977 0.9629 0.8054
0.3032 0.8054 0.2317
0.5349 0.2317 0.9629
0.5023 0.0371 0.1946
0.6968 0.1946 0.7683
0.4651 0.7683 0.0371
0.7271 0.8230 0.3857
0.1128 0.3857 0.7913
0.9042 0.7913 0.8230
0.2729 0.1770 0.6143
0.8872 0.6143 0.2087
0.0958 0.2087 0.1770
0.5097 0.6300 0.7845
0.2943 0.7845 0.5855
0.8798 0.5855 0.6300
0.4903 0.3700 0.2155
0.7057 0.2155 0.4145
0.1202 0.4145 0.3700
0.2301 0.8956 0.7724
0.0025 0.7724 0.3321
0.3345 0.3321 0.8956
0.7699 0.1044 0.2276
0.9975 0.2276 0.6679
0.6655 0.6679 0.1044
0.5906 0.9115 0.5786
0.1692 0.5786 0.5099
0.6790 0.5099 0.9115
0.4094 0.0885 0.4214
0.8308 0.4214 0.4901
0.3210 0.4901 0.0885
```

For the total magnetization, the calculation gives 0.000 μB per formula unit. As for the energy of formation from the pure elements: -414.5 meV per atom. As for the theoretical density: 8.6 g/cm3. As for the symmetry: R-3 (148).

[11]
A plane-wave DFT calculation with GGA-PBEsol was carried out for a relaxed ReP2 crystal.

```
ReP2
1.0
2.9605 0.0000 0.0000
0.0000 3.5933 0.0000
-1.4803 -1.7966 3.7405
Re P
1 2
direct
0.0000 0.0000 0.0000
0.3375 0.3375 0.6751
0.6625 0.6625 0.3249
```

For the total magnetization, the calculation gives 0.000 μB per formula unit. As for the energy of formation from the pure elements: 203.3 meV per atom. As for the theoretical density: 10.4 g/cm3. As for the symmetry: Immm (71).

[12]
A plane-wave DFT calculation with GGA-PBEsol was carried out for a relaxed Re2P5 crystal.

```
Re2P5
1.0
-0.1458 3.0902 -6.6249
-2.3643 -6.9548 -3.6600
-7.7265 0.7964 -2.9478
P Re
20 8
direct
0.8632 0.9598 0.6335
0.1368 0.0402 0.3665
0.6782 0.1655 0.5371
0.3218 0.8345 0.4629
0.6022 0.9167 0.0464
0.3978 0.0833 0.9536
0.1602 0.5827 0.5206
0.8398 0.4173 0.4794
0.3754 0.4502 0.6383
0.6246 0.5498 0.3617
0.8933 0.5873 0.9516
0.1067 0.4127 0.0484
0.2817 0.2520 0.4050
0.7183 0.7480 0.5950
0.4656 0.6943 0.0548
0.5344 0.3057 0.9452
0.2715 0.8418 0.7406
0.7285 0.1582 0.2594
0.9757 0.2201 0.8309
0.0243 0.7799 0.1691
0.3040 0.1413 0.7093
0.6960 0.8587 0.2907
0.8213 0.4808 0.7495
0.1787 0.5192 0.2505
0.9438 0.9117 0.9022
0.0562 0.0883 0.0978
0.4256 0.5774 0.8572
0.5744 0.4226 0.1428
```

For the total magnetization, the calculation gives 0.000 μB per formula unit. As for the energy of formation from the pure elements: -416.9 meV per atom. As for the theoretical density: 8.1 g/cm3. As for the symmetry: P-1 (2).